First-principles (PBE-GGA) data for a geometry-optimized Sc2AgHg structure, as listed in Alexandria.

Lattice parameters (Å, degrees): 5.4912 5.4912 5.0487 75.87 75.87 35.40
Last column: nearest neighbours and their distance in Å.
Fractional positions:
Ag: 0.5071 0.5071 0.5330  7 Sc 2.99-3.03, 2 Hg 3.06, 2 Ag 3.34
Hg: 0.2417 0.2417 0.2188  7 Sc 2.98-3.04, 2 Ag 3.06
Sc: 0.9916 0.9916 0.0403  3 Hg 2.98-3.04, 4 Ag 3.03, 3 Sc 3.29-3.32
Sc: 0.7596 0.7596 0.7079  3 Ag 2.99-3.02, 4 Hg 3.03-3.04, 5 Sc 3.29-3.34

## Properties
Crystal system   monoclinic
Calculated formation energy   -243.4 meV/atom
ρ   7.76 g cm⁻³
DOS at the Fermi energy   4.5 states/eV/f.u.
Size of the total moment   0.40 μB/f.u.

First-principles (PBE-GGA) data for a geometry-optimized TiMn2Se4 structure, as listed in Alexandria.

Lattice parameters (Å, degrees): 3.6930 3.6930 13.4192 82.09 82.09 60.00
Last column: nearest neighbours and their distance in Å.
Fractional positions:
Ti: 0.0000 0.0000 0.0000  6 Se 2.65
Mn: 0.4226 0.4226 0.7323  3 Se 2.47
Mn: 0.5774 0.5774 0.2677  3 Se 2.47
Se: 0.1207 0.1207 0.6379  3 Mn 2.47
Se: 0.2939 0.2939 0.1184  3 Ti 2.65, 3 Mn 2.91
Se: 0.7061 0.7061 0.8816  3 Ti 2.65, 3 Mn 2.91
Se: 0.8793 0.8793 0.3621  3 Mn 2.47

## Properties
Energy relative to the elements, uncorrected   -0.57 eV per atom
Excess energy over the best structure of this formula in the dataset   134 meV per atom
Crystal system   trigonal
ρ   5.03 g cm⁻³
DOS at the Fermi energy   3.4 states/eV/f.u.
Size of the total moment   9.86 μB/f.u.

First-principles (PBE-GGA) data for a geometry-optimized Th4TeAs3 structure, as listed in Alexandria.

Lattice parameters (Å, degrees): 4.2932 6.1074 8.6371 90.00 90.00 90.00
Last column: nearest neighbours and their distance in Å.
Fractional positions:
As: 0.5000 0.5000 0.2498  6 Th 3.04-3.06
As: 0.0000 0.0000 0.5000  6 Th 2.93-3.05
As: 0.5000 0.5000 0.7502  6 Th 3.04-3.06
Te: 0.0000 0.0000 0.0000  6 Th 3.05-3.17
Th: 0.0000 0.5000 0.5000  6 As 3.05
Th: 0.5000 0.0000 0.7307  4 As 2.93-3.06, 2 Te 3.17
Th: 0.0000 0.5000 0.0000  4 As 3.04, 2 Te 3.05
Th: 0.5000 0.0000 0.2693  4 As 2.93-3.06, 2 Te 3.17

## Properties
Energy relative to the elements, uncorrected   -1.29 eV per atom
Crystal system   orthorhombic
ρ   9.39 g cm⁻³
DOS at the Fermi energy   6.2 states/eV/f.u.
Size of the total moment   0.00 μB/f.u.